Record 1
Li2Pr2SmGe2, relaxed, DFT PBE; volume = 169.9 Å³/cell; energy relative to the elements = -0.4861 eV per atom; space group = R-3m, No. 166; crystal system = trigonal; M_tot = 0.00 μB per cell
1.0
4.506 0.000 0.000
2.253 3.903 0.000
2.253 1.301 9.661
Pr Li Ge Sm
2 2 2 1
direct
0.124 0.124 0.627 Pr
0.876 0.876 0.373 Pr
0.393 0.393 0.822 Li
0.607 0.607 0.178 Li
0.730 0.730 0.809 Ge
0.270 0.270 0.191 Ge
0.000 0.000 0.000 Sm

=====

Record 2
TlNi2Pt, relaxed, DFT PBE; volume = 60.1 Å³/cell; energy relative to the elements = 0.1501 eV per atom; space group = P2/m, No. 10; crystal system = monoclinic; energy above the lowest structure with this stoichiometry = 54.6 meV per atom; M_tot = 0.00 μB per cell
1.0
-2.116 -2.628 -1.280
2.336 -1.572 -0.633
2.123 -3.959 4.619
Tl Pt Ni
1 1 2
direct
0.500 0.750 0.750 Tl
0.500 0.250 0.250 Pt
0.000 0.524 0.477 Ni
0.000 0.976 0.023 Ni

=====

Record 3
Y2TcBiC, relaxed, DFT PBE; volume = 103.6 Å³/cell; energy relative to the elements = -0.3778 eV per atom; space group = P4/mmm, No. 123; crystal system = tetragonal; M_tot = 0.00 μB per cell
1.0
-1.611 -1.157 -4.629
-3.747 -2.719 1.984
-2.396 3.308 0.007
Tc Bi Y C
1 1 2 1
direct
0.000 0.000 0.500 Tc
0.500 0.500 0.500 Bi
0.000 0.500 0.000 Y
0.500 0.000 0.000 Y
0.000 0.000 0.000 C